# CrPRu2 GGA-PBE optimized geometry
data_CrPRu2
_chemical_formula_sum 'Cr2 P2 Ru4'
_cell_length_a 3.790
_cell_length_b 2.756
_cell_length_c 10.013
_cell_angle_alpha 90.00
_cell_angle_beta 90.00
_cell_angle_gamma 90.00
_space_group_name_H-M_alt 'A m m 2'
_space_group_IT_number 38
loop_
_space_group_symop_operation_xyz
'x,y,z'
'-x,-y,z'
'-x,y,z'
'x,-y,z'
'x,y+1/2,z+1/2'
'-x,-y+1/2,z+1/2'
'-x,y+1/2,z+1/2'
'x,-y+1/2,z+1/2'
loop_
_atom_site_label
_atom_site_fract_x
_atom_site_fract_y
_atom_site_fract_z
_atom_site_occupancy
Cr1 0.000 0.000 0.000 1
P1 0.500 0.000 0.596 1
Ru1 0.000 0.000 0.732 1
Ru2 0.500 0.000 0.368 1
# - DFT formation energy: -0.15 eV/atom
# - Magnetic moment: 0.2721 μB/atom
# - ρ: 9.05 g cm⁻³



# CrPRu4 GGA-PBE optimized geometry
data_CrPRu4
_chemical_formula_sum 'Cr4 P4 Ru16'
_cell_length_a 7.184
_cell_length_b 7.184
_cell_length_c 7.184
_cell_angle_alpha 90.00
_cell_angle_beta 90.00
_cell_angle_gamma 90.00
_space_group_name_H-M_alt 'F -4 3 m'
_space_group_IT_number 216
_space_group_name_Hall 'F -4 2 3'
loop_
_atom_site_label
_atom_site_fract_x
_atom_site_fract_y
_atom_site_fract_z
_atom_site_occupancy
Cr1 0.000 0.000 0.000 1
P1 0.250 0.250 0.250 1
Ru1 0.125 0.125 0.625 1
# - DFT formation energy: 0.75 eV/atom
# - Magnetic moment: 0.1196 μB/atom
# - ρ: 8.73 g cm⁻³



# CrPRu2 GGA-PBE optimized geometry
data_CrPRu2
_chemical_formula_sum 'Cr2 P2 Ru4'
_cell_length_a 8.198
_cell_length_b 2.811
_cell_length_c 4.645
_cell_angle_alpha 90.00
_cell_angle_beta 98.30
_cell_angle_gamma 90.00
_space_group_name_H-M_alt 'C 1 2/m 1'
_space_group_IT_number 12
loop_
_space_group_symop_operation_xyz
'x,y,z'
'-x,-y,-z'
'-x,y,-z'
'x,-y,z'
'x+1/2,y+1/2,z'
'-x+1/2,-y+1/2,-z'
'-x+1/2,y+1/2,-z'
'x+1/2,-y+1/2,z'
loop_
_atom_site_label
_atom_site_fract_x
_atom_site_fract_y
_atom_site_fract_z
_atom_site_occupancy
Cr1 0.000 0.000 0.000 1
P1 0.000 0.500 0.500 1
Ru1 0.244 0.500 0.252 1
# - DFT formation energy: -0.02 eV/atom
# - Magnetic moment: 0.4516 μB/atom
# - ρ: 8.94 g cm⁻³



# CrP2Ru GGA-PBE optimized geometry
data_CrP2Ru
_chemical_formula_sum 'Cr4 P8 Ru4'
_cell_length_a 5.775
_cell_length_b 5.775
_cell_length_c 5.775
_cell_angle_alpha 90.00
_cell_angle_beta 90.00
_cell_angle_gamma 90.00
_space_group_name_H-M_alt 'F m -3 m'
_space_group_IT_number 225
_space_group_name_Hall '-F 4 2 3'
loop_
_atom_site_label
_atom_site_fract_x
_atom_site_fract_y
_atom_site_fract_z
_atom_site_occupancy
Cr1 0.000 0.000 0.000 1
P1 0.250 0.250 0.250 1
Ru1 0.000 0.000 0.500 1
# - DFT formation energy: -0.28 eV/atom
# - Magnetic moment: 0.0000 μB/atom
# - Energy above the most stable polymorph in this dataset: 3.35 kcal/mol of atoms
# - ρ: 7.41 g cm⁻³